1.
VASP calculation (PBE) on a relaxed Pa2ZnNi crystal.

Cell lengths 3.0365, 3.0365, 30.5337 Å; angles 90.00, 90.00, 120.00 degrees
Space group R-3m (No. 166, hexagonal axes)
Symmetry-distinct sites (fractional):
Pa 0.0000 0.0000 0.0823 x6
Zn 0.0000 0.0000 0.5000 x3
Ni 0.0000 0.0000 0.0000 x3

Output
As for the size of the total moment: 0.00 μB/cell. The formation energy comes out at 0.297 eV/atom. The calculation puts the energy above the most stable polymorph in this dataset at 0.378 eV/atom.

2.
VASP calculation (PBE) on a relaxed PaZnNi crystal.

Cell lengths 10.620, 4.280, 4.787 Å; angles 90.00, 101.57, 90.00 degrees
Space group C2/m (No. 12)
Symmetry-distinct sites (fractional):
Pa 0.117 0.000 0.291 x4
Zn 0.086 0.500 0.778 x4
Ni 0.217 0.000 0.823 x4

Output
As for the size of the total moment: 0.00 μB/cell. The formation energy comes out at -0.284 eV/atom.

3.
VASP calculation (PBE) on a relaxed Pa2ZnNi6 crystal.

Cell lengths 5.1869, 5.1869, 5.7371 Å; angles 90.00, 90.00, 120.00 degrees
Space group P-3m1 (No. 164)
Symmetry-distinct sites (fractional):
Pa 0.3333 0.6667 0.2917 x2
Zn 0.0000 0.0000 0.5000 x1
Ni 0.1730 0.3459 0.8276 x6

Output
As for the size of the total moment: 0.00 μB/cell. The formation energy comes out at -0.369 eV/atom.